The following is a DFT calculation (GGA-PBE) of a relaxed structure of CeIn2Sn.

a = 5.3982 Å, b = 5.3982 Å, c = 5.4023 Å
α = 60.03°, β = 60.03°, γ = 60.00°
Atoms (fractional coordinates):
Sn: 0.0000 0.0000 0.0000
Ce: 0.5000 0.5000 0.5000
In: 0.7498 0.7498 0.7505
In: 0.2502 0.2502 0.2495

Computed properties:
crystal system: cubic
SG: Fm-3m, No. 225
energy relative to the elements: -154 meV/atom


The following is a DFT calculation (GGA-PBE) of a relaxed structure of Ce6In5Sn.

a = 4.8078 Å, b = 9.4051 Å, c = 7.6015 Å
α = 90.00°, β = 71.56°, γ = 90.00°
Atoms (fractional coordinates):
Sn: 0.0000 0.0000 0.0000
Ce: 0.8340 0.7511 0.3320
Ce: 0.8340 0.2489 0.3320
Ce: 0.5000 0.2478 0.0000
Ce: 0.5000 0.7522 0.0000
Ce: 0.1660 0.7511 0.6680
Ce: 0.1660 0.2489 0.6680
In: 0.6666 0.5000 0.6669
In: 0.3306 0.0000 0.3389
In: 0.0000 0.5000 0.0000
In: 0.6694 0.0000 0.6611
In: 0.3335 0.5000 0.3331

Computed properties:
crystal system: orthorhombic
SG: Cmmm, No. 65
energy relative to the elements: -404 meV/atom


The following is a DFT calculation (GGA-PBE) of a relaxed structure of Ce3In2Sn3.

a = 4.7344 Å, b = 4.4931 Å, c = 10.7314 Å
α = 102.08°, β = 102.74°, γ = 90.00°
Atoms (fractional coordinates):
Ce: 0.6286 0.6286 0.2571
Ce: 0.3714 0.3714 0.7429
Ce: 0.5000 0.0000 0.0000
In: 0.7559 0.2559 0.5117
In: 0.2441 0.7441 0.4883
Sn: 0.1187 0.1187 0.2375
Sn: 0.0000 0.5000 0.0000
Sn: 0.8813 0.8813 0.7625

Computed properties:
crystal system: orthorhombic
SG: Immm, No. 71
energy relative to the elements: -453 meV/atom


The following is a DFT calculation (GGA-PBE) of a relaxed structure of Ce2InSn.

a = 4.6145 Å, b = 4.8650 Å, c = 4.8650 Å
α = 90.00°, β = 90.00°, γ = 90.00°
Atoms (fractional coordinates):
Sn: 0.5000 0.0000 0.0000
Ce: 0.0000 0.0000 0.5000
Ce: 0.0000 0.5000 0.0000
In: 0.5000 0.5000 0.5000

Computed properties:
crystal system: tetragonal
SG: P4/mmm, No. 123
energy relative to the elements: -488 meV/atom


The following is a DFT calculation (GGA-PBE) of a relaxed structure of Ce7In3Sn.

a = 5.8282 Å, b = 8.2493 Å, c = 8.2493 Å
α = 85.58°, β = 113.99°, γ = 113.99°
Atoms (fractional coordinates):
Ce: 0.2025 0.1936 0.1936
Ce: 0.2851 0.0684 0.5705
Ce: 0.7149 0.4295 0.9316
Ce: 0.2851 0.5705 0.0684
Ce: 0.0000 0.5000 0.5000
Ce: 0.7149 0.9316 0.4295
Ce: 0.7975 0.8064 0.8064
In: 0.0000 0.7752 0.2248
In: 0.5000 0.0000 0.0000
In: 0.0000 0.2248 0.7752
Sn: 0.5000 0.5000 0.5000

Computed properties:
crystal system: monoclinic
SG: C2/m, No. 12
energy relative to the elements: -155 meV/atom


The following is a DFT calculation (GGA-PBE) of a relaxed structure of Ce5InSn4.

a = 4.1605 Å, b = 4.1605 Å, c = 16.0258 Å
α = 90.00°, β = 90.00°, γ = 90.00°
Atoms (fractional coordinates):
Ce: 0.5000 0.5000 0.1057
Ce: 0.5000 0.5000 0.3004
Ce: 0.5000 0.5000 0.5000
Ce: 0.5000 0.5000 0.6996
Ce: 0.5000 0.5000 0.8943
In: 0.0000 0.0000 0.0000
Sn: 0.0000 0.0000 0.2004
Sn: 0.0000 0.0000 0.3999
Sn: 0.0000 0.0000 0.6001
Sn: 0.0000 0.0000 0.7996

Computed properties:
crystal system: tetragonal
SG: P4/mmm, No. 123
energy relative to the elements: -551 meV/atom


The following is a DFT calculation (GGA-PBE) of a relaxed structure of Ce6InSn.

a = 4.7950 Å, b = 4.7950 Å, c = 9.5824 Å
α = 90.00°, β = 90.00°, γ = 90.00°
Atoms (fractional coordinates):
Ce: 0.5000 0.5000 0.0000
Ce: 0.5000 0.5000 0.5000
Ce: 0.5000 0.0000 0.2522
Ce: 0.5000 0.0000 0.7478
Ce: 0.0000 0.5000 0.2522
Ce: 0.0000 0.5000 0.7478
In: 0.0000 0.0000 0.0000
Sn: 0.0000 0.0000 0.5000

Computed properties:
crystal system: tetragonal
SG: P4/mmm, No. 123
energy relative to the elements: -301 meV/atom


The following is a DFT calculation (GGA-PBE) of a relaxed structure of CeInSn3.

a = 5.8632 Å, b = 6.5655 Å, c = 8.6366 Å
α = 112.34°, β = 90.00°, γ = 90.00°
Atoms (fractional coordinates):
Ce: 0.7500 0.1810 0.3620
Ce: 0.2500 0.8190 0.6380
In: 0.7500 0.6698 0.3397
In: 0.2500 0.3302 0.6603
Sn: 0.7500 0.6051 0.7119
Sn: 0.7500 0.1068 0.7119
Sn: 0.2500 0.8932 0.2881
Sn: 0.2500 0.3949 0.2881
Sn: 0.0000 0.0000 0.0000
Sn: 0.5000 0.0000 0.0000

Computed properties:
crystal system: orthorhombic
SG: Cmcm, No. 63
energy relative to the elements: -190 meV/atom


The following is a DFT calculation (GGA-PBE) of a relaxed structure of Ce2In4Sn.

a = 6.4597 Å, b = 6.4597 Å, c = 6.6513 Å
α = 119.01°, β = 119.01°, γ = 89.99°
Atoms (fractional coordinates):
Sn: 0.7858 0.7858 0.5715
Ce: 0.2858 0.7855 0.5714
Ce: 0.7855 0.2858 0.5714
In: 0.7859 0.7859 0.0717
In: 0.2856 0.2856 0.0712
In: 0.7856 0.2857 0.0714
In: 0.2857 0.7856 0.0714

Computed properties:
crystal system: tetragonal
SG: I4/mmm, No. 139
energy relative to the elements: -298 meV/atom


The following is a DFT calculation (GGA-PBE) of a relaxed structure of Ce2In3Sn3.

a = 4.6148 Å, b = 4.6926 Å, c = 9.6584 Å
α = 90.00°, β = 90.00°, γ = 90.00°
Atoms (fractional coordinates):
Ce: 0.0000 0.0000 0.7561
Ce: 0.0000 0.0000 0.2439
In: 0.5000 0.0000 0.5000
In: 0.0000 0.5000 0.0000
In: 0.0000 0.5000 0.5000
Sn: 0.5000 0.5000 0.7472
Sn: 0.5000 0.5000 0.2528
Sn: 0.5000 0.0000 0.0000

Computed properties:
crystal system: orthorhombic
SG: Pmmm, No. 47
energy relative to the elements: -495 meV/atom


The following is a DFT calculation (GGA-PBE) of a relaxed structure of CeIn2Sn.

a = 4.8553 Å, b = 4.6374 Å, c = 4.6374 Å
α = 90.00°, β = 90.00°, γ = 90.00°
Atoms (fractional coordinates):
Sn: 0.5000 0.5000 0.5000
Ce: 0.5000 0.0000 0.0000
In: 0.0000 0.0000 0.5000
In: 0.0000 0.5000 0.0000

Computed properties:
crystal system: tetragonal
SG: P4/mmm, No. 123
energy relative to the elements: -472 meV/atom


The following is a DFT calculation (GGA-PBE) of a relaxed structure of Ce5In4Sn.

a = 3.3858 Å, b = 3.3858 Å, c = 23.5810 Å
α = 90.00°, β = 90.00°, γ = 90.00°
Atoms (fractional coordinates):
Ce: 0.5000 0.5000 0.0983
Ce: 0.5000 0.5000 0.2997
Ce: 0.5000 0.5000 0.5000
Ce: 0.5000 0.5000 0.7003
Ce: 0.5000 0.5000 0.9017
In: 0.0000 0.0000 0.1992
In: 0.0000 0.0000 0.4000
In: 0.0000 0.0000 0.6000
In: 0.0000 0.0000 0.8008
Sn: 0.0000 0.0000 0.0000

Computed properties:
crystal system: tetragonal
SG: P4/mmm, No. 123
energy relative to the elements: -406 meV/atom


Q: energy relative to the elements of number 1 (CeIn2Sn)?
A: -154 meV/atom


What did the tenth record say?
The following is a DFT calculation (GGA-PBE) of a relaxed structure of Ce2In3Sn3.

a = 4.6148 Å, b = 4.6926 Å, c = 9.6584 Å
α = 90.00°, β = 90.00°, γ = 90.00°
Atoms (fractional coordinates):
Ce: 0.0000 0.0000 0.7561
Ce: 0.0000 0.0000 0.2439
In: 0.5000 0.0000 0.5000
In: 0.0000 0.5000 0.0000
In: 0.0000 0.5000 0.5000
Sn: 0.5000 0.5000 0.7472
Sn: 0.5000 0.5000 0.2528
Sn: 0.5000 0.0000 0.0000

Computed properties:
crystal system: orthorhombic
SG: Pmmm, No. 47
energy relative to the elements: -495 meV/atom